# SrMn3F

SrMn3F after structural relaxation (PBE with a Hubbard U, the Alexandria database).

Cell: 4.9817 4.9817 4.9817 Å, 90.00 90.00 90.00°
Space group Pm-3m (No. 221)
One atom of each set of equivalent atoms:
Sr1 0.0000 0.0000 0.0000
Mn1 0.0000 0.5000 0.5000
F1 0.5000 0.5000 0.5000

Output
Energy above the lowest structure with this stoichiometry, eV/f.u.: 0.000